The following is a DFT calculation (GGA-PBE) of crystalline Li6CdAu2 at its relaxed geometry.

Values from the calculation:
Crystal system: monoclinic
Space-group type: C2/m, No. 12
ΔH_f (0 K) in eV/f.u.: -3.2

Cell: 2.8210 8.2115 8.2115 Å, 55.80 110.61 110.61°
Fractional coordinates of all 9 atoms:
Li: 0.8321 0.3417 0.9998
Li: 0.1679 0.0002 0.6583
Li: 0.1679 0.6583 0.0002
Li: 0.5000 0.3415 0.6585
Li: 0.8321 0.9998 0.3417
Li: 0.5000 0.6585 0.3415
Cd: 0.0000 0.0000 0.0000
Au: 0.3337 0.6667 0.6667
Au: 0.6663 0.3333 0.3333